Computed, not measured: a geometry-optimized AgIrCl6 structure at the PBE level of DFT.

extended XYZ file:
```
8
Lattice="6.171 0.010 0.002 3.080 5.351 0.011 3.073 1.782 5.664" Properties=species:S:1:pos:R:3 pbc="T T T"
Ag 6.162 3.572 2.839
Cl 4.986 5.481 1.341
Cl 8.410 3.641 1.337
Cl 3.913 3.502 4.341
Cl 5.101 1.592 1.333
Cl 7.222 5.551 4.345
Cl 7.337 1.662 4.336
Ir 0.000 0.000 0.000
```

volume = 186.7 Å³ per cell
formation energy (no corrections) = -0.36 eV/atom
symmetry = P-1 (2)
energy = -3.21 eV per atom

***

Computed, not measured: a geometry-optimized LiTbSiRu structure at the PBE level of DFT.

extended XYZ file:
```
4
Lattice="-2.700 -3.572 0.616 1.286 -3.360 2.737 -2.079 -0.604 3.968" Properties=species:S:1:pos:R:3 pbc="T T T"
Tb 0.000 0.000 0.000
Si -1.746 -3.768 3.660
Li -0.873 -1.884 1.830
Ru -2.620 -5.652 5.491
```

volume = 65.3 Å³ per cell
formation energy (no corrections) = -0.34 eV/atom
symmetry = F-43m (216)
energy = -5.66 eV per atom

***

Computed, not measured: a geometry-optimized CsPrGeS4 structure at the PBE level of DFT.

extended XYZ file:
```
14
Lattice="6.683 0.000 -0.115 0.000 6.841 0.000 -2.772 0.000 9.173" Properties=species:S:1:pos:R:3 pbc="T T T"
S 1.648 1.710 7.402
S 5.825 0.023 2.631
S -1.915 6.819 6.427
S 2.262 5.131 1.655
S 1.219 5.131 5.146
S -1.915 3.443 6.427
S 2.691 1.710 3.912
S 5.825 3.398 2.631
Pr 3.903 5.131 4.057
Pr 0.007 1.710 5.000
Cs 2.287 5.131 8.501
Cs 1.624 1.710 0.557
Ge 0.536 5.131 3.028
Ge 3.375 1.710 6.029
```

volume = 417.2 Å³ per cell
formation energy (no corrections) = -1.28 eV/atom
symmetry = P2_1/m (11)
energy = -5.10 eV per atom

***

Computed, not measured: a geometry-optimized GaNiOs structure at the PBE level of DFT.

extended XYZ file:
```
6
Lattice="-2.236 1.677 -0.027 -0.433 -0.621 -2.691 -5.850 -7.759 2.732" Properties=species:S:1:pos:R:3 pbc="T T T"
Os -3.534 -2.389 -0.332
Os -3.203 -4.249 1.496
Ni -5.578 -5.100 0.623
Ni -1.508 0.299 -1.278
Ga -5.102 -6.767 2.383
Ga -1.108 -1.470 0.517
```

volume = 78.9 Å³ per cell
ΔH_f (0 K) = -0.127 eV/atom
symmetry = P4mm (99)
energy = -6.81 eV per atom

***

Computed, not measured: a geometry-optimized CaAl2In structure at the PBE level of DFT.

extended XYZ file:
```
4
Lattice="-0.421 1.786 4.684 -0.873 -3.149 3.824 3.613 -0.919 3.377" Properties=species:S:1:pos:R:3 pbc="T T T"
Ca 1.160 -1.141 5.942
In 1.739 -1.711 8.913
Al 0.580 -0.570 2.971
Al 0.000 0.000 0.000
```

volume = 90.0 Å³ per cell
ΔH_f (0 K) = -0.009 eV/atom
symmetry = F-43m (216)
energy = -3.07 eV per atom

***

Computed, not measured: a geometry-optimized ZnWAu structure at the PBE level of DFT.

extended XYZ file:
```
3
Lattice="2.843 0.000 0.000 -1.422 2.462 0.000 0.000 0.000 6.932" Properties=species:S:1:pos:R:3 pbc="T T T"
Au 0.000 0.000 6.895
Zn 1.422 0.821 4.614
W 0.000 1.642 2.355
```

energy above the most stable polymorph in this dataset = 0.049 eV per atom
volume = 48.5 Å³ per cell
ΔH_f (0 K) = 0.262 eV/atom
symmetry = P3m1 (156)
energy = -5.57 eV per atom

***

Computed, not measured: a geometry-optimized MgCoW structure at the PBE level of DFT.

extended XYZ file:
```
3
Lattice="-1.563 -1.262 3.654 2.534 -1.546 2.929 0.765 2.193 3.464" Properties=species:S:1:pos:R:3 pbc="T T T"
W 1.302 -0.461 7.536
Mg 0.868 -0.308 5.024
Co 0.000 0.000 0.000
```

energy above the most stable polymorph in this dataset = 0.908 eV per atom
volume = 51.3 Å³ per cell
ΔH_f (0 K) = 1.135 eV/atom
symmetry = F-43m (216)
energy = -6.08 eV per atom

***

Computed, not measured: a geometry-optimized TlSnPb2Br structure at the PBE level of DFT.

extended XYZ file:
```
5
Lattice="-3.615 -0.054 3.071 3.921 -2.513 0.907 3.628 7.249 4.399" Properties=species:S:1:pos:R:3 pbc="T T T"
Pb 0.341 2.012 4.101
Pb 0.319 0.638 0.387
Br 2.345 4.686 2.844
Sn 2.274 0.035 2.677
Tl 1.910 5.147 6.004
```

energy above the most stable polymorph in this dataset = 0.053 eV per atom
volume = 179.8 Å³ per cell
formation energy (no corrections) = -0.17 eV/atom
symmetry = P3m1 (156)
energy = -3.26 eV per atom